1.
{"formula": "ScZnFeB", "functional": "PBE", "state": "optimized geometry", "cell": [[0.000, 2.958, 2.958], [2.958, 0.000, 2.958], [2.958, 2.958, 0.000]], "species": ["B", "Fe", "Zn", "Sc"], "fractional_positions": [[0.250, 0.250, 0.250], [0.750, 0.750, 0.750], [0.500, 0.500, 0.500], [0.000, 0.000, 0.000]], "de_polymorph_mev_per_atom": 202, "spacegroup": "F-43m (216)"}

2.
{"formula": "KSmNp", "functional": "PBE", "state": "optimized geometry", "cell": [[2.034, -3.293, -4.244], [2.956, -4.768, 1.230], [-2.323, -5.157, -0.999]], "species": ["Sm", "K", "Np"], "fractional_positions": [[0.000, 0.000, 0.000], [0.250, 0.250, 0.250], [0.750, 0.750, 0.750]], "de_polymorph_mev_per_atom": 0, "spacegroup": "F-43m (216)"}

3.
{"formula": "YIrPt2", "functional": "PBE", "state": "optimized geometry", "cell": [[2.324, 1.342, 3.796], [-2.324, 1.342, 3.796], [0.000, -2.684, 3.796]], "species": ["Pt", "Pt", "Ir", "Y"], "fractional_positions": [[0.750, 0.750, 0.750], [0.500, 0.500, 0.500], [0.250, 0.250, 0.250], [0.000, 0.000, 0.000]], "spacegroup": "F-43m (216)", "e_form_ev_per_fu": -1.47}

4.
{"formula": "Zr3CdN", "functional": "PBE", "state": "optimized geometry", "cell": [[-0.875, 2.291, 3.790], [-1.274, -3.830, 2.021], [4.242, -0.678, 1.389]], "species": ["Cd", "N", "Zr", "Zr", "Zr"], "fractional_positions": [[0.000, 0.000, 0.000], [0.500, 0.500, 0.500], [0.000, 0.500, 0.500], [0.500, 0.000, 0.500], [0.500, 0.500, 0.000]], "spacegroup": "Pm-3m (221)", "final_energy_ev_per_atom": -7.770}

Ordered V results: 12.9; 44.7; 17.8; 18.4; unit A^3/atom.